(one)
BeAlBr after structural relaxation. Source: the Alexandria database, functional PBE.

Lattice parameters (Å, degrees): 3.778 3.797 10.854 79.96 89.28 61.13
Fractional positions:
1 Be 0.000 0.000 0.000
2 Be 0.324 0.324 0.000
3 Al 0.690 0.598 0.103
4 Al 0.738 0.982 0.288
5 Br 0.113 0.277 0.816
6 Br 0.283 0.876 0.454

Calculated values
volume: 134 Å³ per cell
crystal system: triclinic

(two)
BeAlBr after structural relaxation. Source: the Alexandria database, functional PBE.

Lattice parameters (Å, degrees): 4.847 4.027 7.995 90.00 95.99 90.00
Fractional positions:
1 Be 0.000 0.000 0.000
2 Be 0.467 0.000 0.979
3 Al 0.208 0.500 0.861
4 Al 0.726 0.500 0.932
5 Br 0.300 0.000 0.230
6 Br 0.865 0.500 0.615

Calculated values
volume: 155 Å³ per cell
crystal system: monoclinic

(three)
BeAlBr after structural relaxation. Source: the Alexandria database, functional PBE.

Lattice parameters (Å, degrees): 3.222 3.222 7.759 90.00 90.00 120.00
Fractional positions:
1 Be 0.000 0.000 0.000
2 Al 0.333 0.667 0.752
3 Br 0.667 0.333 0.173

Calculated values
volume: 70 Å³ per cell
crystal system: trigonal

Which of them is most stable, and which least? Most stable: (two); least stable: (three).